[1]
Below is a relaxed SrTlGa crystal, with properties calculated at the PBE-GGA level.

Results
formation energy from the elements: -0.371 eV per atom
volume: 28.4 Å³ per atom
density of states at the Fermi level: 0.33 states/eV per atom

Structure (POSCAR):
```
SrTlGa
1.0
6.3581 -0.0350 0.0376
1.9767 4.5697 0.0036
-1.3097 -2.1535 5.8384
Sr Tl Ga
2 2 2
Cartesian
3.1594 -0.9373 3.2244 Sr
0.1586 0.3647 0.7752 Sr
-0.0523 0.4508 4.2406 Tl
3.3305 1.7056 0.8126 Tl
2.1004 2.2331 3.4068 Ga
3.8448 1.4768 5.4374 Ga
```

[2]
Below is a relaxed Sr2TlGa crystal, with properties calculated at the PBE-GGA level.

Results
formation energy from the elements: 0.310 eV per atom
volume: 42.7 Å³ per atom
E above lowest polymorph: 699.3 meV/atom
density of states at the Fermi level: 1.05 states/eV per atom

Structure (POSCAR):
```
Sr2TlGa
1.0
-7.3118 -2.3112 0.2073
6.3678 -4.1684 0.9604
6.1300 3.1310 3.3862
Tl Sr Ga
1 2 1
Cartesian
6.2489 -0.5187 2.1733 Tl
3.0068 -0.2496 1.0458 Sr
9.4910 -0.7879 3.3009 Sr
0.0000 0.0000 0.0000 Ga
```

DFT total energy for the records above, in order: -2.73 -1.88 eV per atom